DFT (GGA-PBE) results for a relaxed Tb8Pm4Dy crystal.

a b c (Å): 7.812 7.812 7.812
angles (deg): 90.08 90.08 90.08
Fractional positions:
Tb 0.239 0.239 0.760
Tb 0.239 0.760 0.239
Tb 0.240 0.240 0.240
Tb 0.240 0.761 0.761
Tb 0.760 0.239 0.239
Tb 0.760 0.760 0.760
Tb 0.761 0.240 0.761
Tb 0.761 0.761 0.240
Pm 0.000 0.000 0.000
Pm 0.000 0.500 0.500
Pm 0.500 0.000 0.500
Pm 0.500 0.500 0.000
Dy 0.500 0.500 0.500

Its calculated formation energy is 0.51 eV/atom. The value obtained for the total magnetization is 1.19 μB/cell.

---

DFT (GGA-PBE) results for a relaxed TbPm5Dy6 crystal.

a b c (Å): 9.492 9.492 9.492
angles (deg): 148.97 115.57 73.23
Fractional positions:
Tb 0.000 0.000 0.000
Pm 0.166 0.666 0.500
Pm 0.333 0.333 0.000
Pm 0.500 0.000 0.500
Pm 0.667 0.667 0.000
Pm 0.834 0.334 0.500
Dy 0.083 0.834 0.249
Dy 0.249 0.500 0.749
Dy 0.416 0.166 0.249
Dy 0.584 0.834 0.751
Dy 0.751 0.500 0.251
Dy 0.917 0.166 0.751

Its calculated formation energy is 0.02 eV/atom. The value obtained for the total magnetization is 0.00 μB/cell.

---

DFT (GGA-PBE) results for a relaxed Tb3Pm2Dy2 crystal.

a b c (Å): 11.852 3.581 10.758
angles (deg): 90.00 95.76 90.00
Fractional positions:
Tb 0.000 0.000 0.000
Tb 0.142 0.000 0.570
Tb 0.358 0.500 0.430
Tb 0.500 0.500 0.000
Tb 0.642 0.500 0.570
Tb 0.858 0.000 0.430
Pm 0.214 0.500 0.856
Pm 0.286 0.000 0.144
Pm 0.714 0.000 0.856
Pm 0.786 0.500 0.144
Dy 0.071 0.500 0.287
Dy 0.429 0.000 0.713
Dy 0.571 0.000 0.287
Dy 0.929 0.500 0.713

Its calculated formation energy is 0.02 eV/atom. The calculation puts the distance to the lowest polymorph of the same formula at 0 meV/atom. The value obtained for the total magnetization is 0.00 μB/cell.

---

Q: What is the formula in the first record?
A: Tb8Pm4Dy